CoSbPtW: optimized geometry, PBE.

**Excess energy over the best structure of this formula in the dataset**: 0.0 meV/atom
**Calculated total energy**: -29.10 eV for the cell shown

a b c (Å): 4.489 4.489 4.489
angles (deg): 60.00 60.00 60.00
Fractional positions:
1 W 0.250 0.250 0.250
2 Sb 0.000 0.000 0.000
3 Co 0.750 0.750 0.750
4 Pt 0.500 0.500 0.500

---

Tb2DyAl3PtAu2: optimized geometry, PBE.

**Calculated total energy**: -45.96 eV for the cell shown

a b c (Å): 3.959 7.389 7.389
angles (deg): 120.01 90.00 90.00
Fractional positions:
1 Tb 0.000 0.411 0.000
2 Tb 0.000 0.000 0.411
3 Al 0.500 0.763 0.000
4 Al 0.500 0.237 0.237
5 Pt 0.000 0.999 0.999
6 Al 0.500 0.000 0.763
7 Dy 0.000 0.590 0.590
8 Au 0.500 0.666 0.334
9 Au 0.500 0.334 0.666

---

ReS2: optimized geometry, PBE.

**Calculated total energy**: -36.69 eV for the cell shown

a b c (Å): 3.931 3.931 7.365
angles (deg): 90.00 90.00 120.05
Fractional positions:
1 S 0.333 0.667 0.750
2 Re 0.667 0.333 0.750
3 S 0.000 0.000 0.500
4 S 0.000 0.000 0.000
5 Re 0.333 0.667 0.250
6 S 0.667 0.333 0.250

---

CsAlAgF6: optimized geometry, PBE.

**Calculated total energy**: -167.92 eV for the cell shown

a b c (Å): 7.192 7.100 10.053
angles (deg): 90.00 90.00 90.00
Fractional positions:
1 F 0.883 0.532 0.842
2 F 0.947 0.250 0.991
3 F 0.219 0.032 0.917
4 F 0.281 0.532 0.417
5 F 0.883 0.968 0.842
6 Cs 0.967 0.250 0.374
7 F 0.383 0.532 0.658
8 Al 0.500 0.500 0.500
9 F 0.781 0.532 0.083
10 Ag 0.196 0.750 0.254
11 F 0.558 0.250 0.844
12 Al 0.500 0.000 0.500
13 Cs 0.033 0.750 0.626
14 F 0.553 0.750 0.491
15 Cs 0.533 0.750 0.874
16 F 0.117 0.032 0.158
17 F 0.617 0.032 0.342
18 F 0.058 0.250 0.656
19 F 0.447 0.250 0.509
20 Al 0.000 0.000 0.000
21 F 0.617 0.468 0.342
22 Al 0.000 0.500 0.000
23 F 0.781 0.968 0.083
24 F 0.442 0.750 0.156
25 F 0.219 0.468 0.917
26 F 0.281 0.968 0.417
27 F 0.719 0.032 0.583
28 F 0.117 0.468 0.158
29 F 0.053 0.750 0.009
30 Ag 0.804 0.250 0.746
31 F 0.719 0.468 0.583
32 Cs 0.467 0.250 0.126
33 F 0.942 0.750 0.344
34 Ag 0.304 0.250 0.754
35 F 0.383 0.968 0.658
36 Ag 0.696 0.750 0.246

---

ZnCuMoIr: optimized geometry, PBE.

**Excess energy over the best structure of this formula in the dataset**: 0.0 meV/atom
**Calculated total energy**: -24.73 eV for the cell shown
**Calculated formation energy**: -12 meV/atom

a b c (Å): 4.311 4.311 4.311
angles (deg): 60.00 60.00 60.00
Fractional positions:
1 Zn 0.000 0.000 0.000
2 Ir 0.250 0.250 0.250
3 Mo 0.500 0.500 0.500
4 Cu 0.750 0.750 0.750

---

CoTc: optimized geometry, PBE.

**Excess energy over the best structure of this formula in the dataset**: 1322.6 meV/atom
**Calculated total energy**: -14.91 eV for the cell shown
**Calculated formation energy**: 1277 meV/atom

a b c (Å): 3.670 3.670 3.670
angles (deg): 60.00 60.00 60.00
Fractional positions:
1 Tc 0.250 0.250 0.250
2 Co 0.000 0.000 0.000

---

Nb2TeIr: optimized geometry, PBE.

**Calculated total energy**: -31.25 eV for the cell shown

a b c (Å): 4.679 4.679 4.679
angles (deg): 60.00 60.00 60.00
Fractional positions:
1 Nb 0.750 0.750 0.750
2 Nb 0.000 0.000 0.000
3 Ir 0.250 0.250 0.250
4 Te 0.500 0.500 0.500

---

Hf5As3: optimized geometry, PBE.

**Calculated total energy**: -565.71 eV for the cell shown

a b c (Å): 27.550 3.617 12.390
angles (deg): 90.00 90.00 90.00
Fractional positions:
1 As 0.428 0.250 0.420
2 Hf 0.850 0.250 0.447
3 As 0.160 0.750 0.185
4 Hf 0.623 0.250 0.711
5 As 0.572 0.750 0.580
6 Hf 0.399 0.750 0.572
7 Hf 0.638 0.250 0.154
8 Hf 0.377 0.750 0.289
9 Hf 0.261 0.250 0.835
10 Hf 0.101 0.250 0.072
11 Hf 0.045 0.750 0.697
12 As 0.780 0.750 0.507
13 Hf 0.545 0.750 0.803
14 As 0.280 0.750 0.993
15 As 0.197 0.750 0.745
16 Hf 0.877 0.750 0.211
17 Hf 0.239 0.750 0.335
18 Hf 0.862 0.750 0.654
19 As 0.549 0.250 0.251
20 Hf 0.003 0.750 0.111
21 Hf 0.497 0.250 0.611
22 As 0.951 0.750 0.751
23 Hf 0.150 0.750 0.553
24 Hf 0.601 0.250 0.428
25 Hf 0.350 0.250 0.053
26 As 0.072 0.750 0.920
27 Hf 0.272 0.750 0.616
28 Hf 0.176 0.750 0.957
29 As 0.424 0.750 0.050
30 As 0.076 0.250 0.550
31 Hf 0.772 0.750 0.884
32 Hf 0.324 0.250 0.457
33 As 0.303 0.250 0.245
34 Hf 0.362 0.750 0.846
35 Hf 0.728 0.250 0.384
36 Hf 0.955 0.250 0.303
37 Hf 0.650 0.750 0.947
38 Hf 0.899 0.750 0.928
39 Hf 0.503 0.750 0.389
40 As 0.697 0.750 0.755
41 As 0.660 0.750 0.315
42 As 0.451 0.750 0.749
43 Hf 0.138 0.250 0.346
44 As 0.928 0.250 0.080
45 Hf 0.968 0.250 0.585
46 As 0.049 0.250 0.249
47 Hf 0.761 0.250 0.665
48 Hf 0.997 0.250 0.889
49 As 0.720 0.250 0.007
50 Hf 0.532 0.750 0.085
51 As 0.803 0.250 0.255
52 Hf 0.739 0.750 0.165
53 Hf 0.468 0.250 0.915
54 Hf 0.228 0.250 0.116
55 As 0.576 0.250 0.950
56 As 0.840 0.250 0.815
57 As 0.220 0.250 0.493
58 As 0.924 0.750 0.450
59 Hf 0.455 0.250 0.197
60 Hf 0.676 0.750 0.543
61 Hf 0.824 0.250 0.043
62 Hf 0.032 0.750 0.415
63 As 0.340 0.250 0.685
64 Hf 0.123 0.250 0.789